Density functional theory data (PBE) for Dy2Y2Ho3 after structural relaxation.

Summary:
The energy above the most stable polymorph in this dataset comes out at 0 meV per atom. Its formation energy is 0.05 eV/atom. The value obtained for the density is 7.447 g/cm3.

Lattice parameters (Å, degrees): 3.518 13.033 5.449 77.95 90.00 113.86
Fractional coordinates of all 7 atoms:
1 Ho 0.000 0.000 0.000
2 Ho 0.327 0.551 0.724
3 Ho 0.673 0.449 0.276
4 Y 0.573 0.716 0.142
5 Y 0.427 0.284 0.858
6 Dy 0.737 0.158 0.421
7 Dy 0.263 0.842 0.579